Entry 1:
Density functional theory data (PBE-GGA) for crystalline ReTcTe2 at its relaxed geometry.

Unit cell a=4.6704 b=4.6704 c=4.6704 alpha=60.00 beta=60.00 gamma=60.00
Closest atoms and distances in Å follow each position.
Fractional positions:
Re 0.5000 0.5000 0.5000  8 Te 2.86
Te 0.2500 0.2500 0.2500  4 Re 2.86, 4 Tc 2.86
Te 0.7500 0.7500 0.7500  4 Tc 2.86, 4 Re 2.86
Tc 0.0000 0.0000 0.0000  8 Te 2.86

Summary:
- theoretical density (kg/m³) = 12434
- energy relative to the lowest polymorph listed for this composition (eV per formula unit) = 1.43
- formation energy (no corrections) (eV per atom) = 0.5899
- space-group type = No. 225
- final energy (eV per atom) = -6.685

---

Entry 2:
Density functional theory data (PBE-GGA) for crystalline ReTcTe2 at its relaxed geometry.

Unit cell a=10.4533 b=10.4533 c=10.4533 alpha=17.33 beta=17.33 gamma=17.33
Closest atoms and distances in Å follow each position.
Fractional positions:
Re 0.4916 0.4916 0.4916  3 Te 2.74, 3 Tc 2.75
Tc 0.7582 0.7582 0.7582  3 Te 2.73, 3 Re 2.75
Te 0.0258 0.0258 0.0258  3 Tc 2.73
Te 0.2245 0.2245 0.2245  3 Re 2.74

Summary:
- theoretical density (kg/m³) = 10125
- energy relative to the lowest polymorph listed for this composition (eV per formula unit) = 0.61
- formation energy (no corrections) (eV per atom) = 0.3854
- space-group type = No. 160
- final energy (eV per atom) = -6.889

---

Entry 3:
Density functional theory data (PBE-GGA) for crystalline ReTc2Te at its relaxed geometry.

Unit cell a=3.0658 b=3.0658 c=6.9425 alpha=90.00 beta=90.00 gamma=90.00
Closest atoms and distances in Å follow each position.
Fractional positions:
Re 0.5000 0.5000 0.7500  8 Tc 2.71
Tc 0.0000 0.0000 0.9853  4 Re 2.71, 4 Te 2.84
Tc 0.0000 0.0000 0.5147  4 Re 2.71, 4 Te 2.84
Te 0.5000 0.5000 0.2500  8 Tc 2.84, 4 Te 3.07

Summary:
- theoretical density (kg/m³) = 12973
- formation energy (no corrections) (eV per atom) = 0.3108
- space-group type = No. 123
- final energy (eV per atom) = -8.770